A plane-wave DFT calculation with SCAN was carried out for a PBEsol-optimized structure of CoSb2PI.

Results
density of states at the Fermi level: 4.41 states/eV/cell
total DFT energy (no corrections): -134.878 eV/f.u.
spin magnetization: 0.00 μB/atom

a b c (Å): 4.8081 4.8081 5.0572
angles (deg): 90.00 90.00 90.00
Space group P4/mmm (No. 123)
Asymmetric unit:
Co 0.0000 0.0000 0.0000 (multiplicity 1)
Sb 0.0000 0.5000 0.0000 (multiplicity 2)
P 0.5000 0.5000 0.5000 (multiplicity 1)
I 0.0000 0.0000 0.5000 (multiplicity 1)